A geometry-optimized Li4Zn2Cd structure. Source: the Alexandria database, functional GGA-PBE.

Calculated values
Energy relative to the lowest polymorph listed for this composition (meV/atom): 0
DOS at the Fermi energy (states/eV/atom): 0.309
Theoretical density (Mg/m³): 3.61
Total magnetic moment (Bohr magnetons per cell): 0.0

Cell and atoms, written as CIF:
```
data_Li4Zn2Cd
_cell_length_a 5.731
_cell_length_b 9.415
_cell_length_c 4.616
_cell_angle_alpha 90.00
_cell_angle_beta 90.00
_cell_angle_gamma 90.00
_space_group_name_H-M_alt 'C m m m'
_space_group_IT_number 65
_space_group_name_Hall '-C 2 2'
loop_
_atom_site_label
_atom_site_type_symbol
_atom_site_fract_x
_atom_site_fract_y
_atom_site_fract_z
_atom_site_occupancy
Li1 Li 0.224 0.000 0.000 1
Li2 Li 0.250 0.250 0.500 1
Zn1 Zn 0.000 0.274 0.000 1
Cd1 Cd 0.000 0.500 0.500 1
```

---

A geometry-optimized Cd2SbBr structure. Source: the Alexandria database, functional GGA-PBE.

Calculated values
Energy relative to the lowest polymorph listed for this composition (meV/atom): 378
DOS at the Fermi energy (states/eV/atom): 0.760
Theoretical density (Mg/m³): 6.16
Total magnetic moment (Bohr magnetons per cell): 0.5

Cell and atoms, written as CIF:
```
data_Cd2SbBr
_cell_length_a 4.187
_cell_length_b 4.187
_cell_length_c 13.123
_cell_angle_alpha 90.00
_cell_angle_beta 90.00
_cell_angle_gamma 90.00
_space_group_name_H-M_alt 'I -4 m 2'
_space_group_IT_number 119
_space_group_name_Hall 'I -4 -2'
loop_
_atom_site_label
_atom_site_type_symbol
_atom_site_fract_x
_atom_site_fract_y
_atom_site_fract_z
_atom_site_occupancy
Cd1 Cd 0.000 0.000 0.000 1
Cd2 Cd 0.000 0.500 0.250 1
Sb1 Sb 0.000 0.500 0.750 1
Br1 Br 0.000 0.000 0.500 1
```

---

A geometry-optimized AcMgIn2 structure. Source: the Alexandria database, functional GGA-PBE.

Calculated values
DOS at the Fermi energy (states/eV/atom): 0.992
Theoretical density (Mg/m³): 6.70
Total magnetic moment (Bohr magnetons per cell): 0.0
Raw total energy (eV/atom): -2.871

Cell and atoms, written as CIF:
```
data_AcMgIn2
_cell_length_a 3.5993
_cell_length_b 3.5993
_cell_length_c 31.8496
_cell_angle_alpha 90.00
_cell_angle_beta 90.00
_cell_angle_gamma 120.00
_space_group_name_H-M_alt 'R -3 m'
_space_group_IT_number 166
_space_group_name_Hall '-R 3 2"'
loop_
_atom_site_label
_atom_site_type_symbol
_atom_site_fract_x
_atom_site_fract_y
_atom_site_fract_z
_atom_site_occupancy
Ac1 Ac 0.0000 0.0000 0.0000 1
Mg1 Mg 0.0000 0.0000 0.5000 1
In1 In 0.0000 0.0000 0.2410 1
```

---

A geometry-optimized Si3SbRh structure. Source: the Alexandria database, functional GGA-PBE.

Calculated values
Energy relative to the lowest polymorph listed for this composition (meV/atom): 0
DOS at the Fermi energy (states/eV/atom): 0.211
Theoretical density (Mg/m³): 5.03
Total magnetic moment (Bohr magnetons per cell): 0.0

Cell and atoms, written as CIF:
```
data_Si3SbRh
_cell_length_a 4.672
_cell_length_b 4.672
_cell_length_c 4.672
_cell_angle_alpha 90.00
_cell_angle_beta 90.00
_cell_angle_gamma 90.00
_space_group_name_H-M_alt 'P m -3 m'
_space_group_IT_number 221
_space_group_name_Hall '-P 4 2 3'
loop_
_atom_site_label
_atom_site_type_symbol
_atom_site_fract_x
_atom_site_fract_y
_atom_site_fract_z
_atom_site_occupancy
Si1 Si 0.000 0.000 0.500 1
Sb1 Sb 0.500 0.500 0.500 1
Rh1 Rh 0.000 0.000 0.000 1
```

---

A geometry-optimized CaThPd2 structure. Source: the Alexandria database, functional GGA-PBE.

Calculated values
Energy relative to the lowest polymorph listed for this composition (meV/atom): 0
DOS at the Fermi energy (states/eV/atom): 0.811
Theoretical density (Mg/m³): 8.34
Total magnetic moment (Bohr magnetons per cell): 0.0

Cell and atoms, written as CIF:
```
data_CaThPd2
_cell_length_a 3.642
_cell_length_b 3.642
_cell_length_c 7.275
_cell_angle_alpha 90.00
_cell_angle_beta 90.00
_cell_angle_gamma 90.00
_space_group_name_H-M_alt 'P 4/m m m'
_space_group_IT_number 123
_space_group_name_Hall '-P 4 2'
loop_
_atom_site_label
_atom_site_type_symbol
_atom_site_fract_x
_atom_site_fract_y
_atom_site_fract_z
_atom_site_occupancy
Ca1 Ca 0.000 0.000 0.000 1
Th1 Th 0.000 0.000 0.500 1
Pd1 Pd 0.500 0.500 0.282 1
```

---

A geometry-optimized Mg2BeZn2 structure. Source: the Alexandria database, functional GGA-PBE.

Calculated values
Energy relative to the lowest polymorph listed for this composition (meV/atom): 422
DOS at the Fermi energy (states/eV/atom): 0.345
Theoretical density (Mg/m³): 3.34
Total magnetic moment (Bohr magnetons per cell): 0.0

Cell and atoms, written as CIF:
```
data_Mg2BeZn2
_cell_length_a 3.845
_cell_length_b 3.845
_cell_length_c 12.688
_cell_angle_alpha 90.00
_cell_angle_beta 90.00
_cell_angle_gamma 90.00
_space_group_name_H-M_alt 'I 4/m m m'
_space_group_IT_number 139
_space_group_name_Hall '-I 4 2'
loop_
_atom_site_label
_atom_site_type_symbol
_atom_site_fract_x
_atom_site_fract_y
_atom_site_fract_z
_atom_site_occupancy
Mg1 Mg 0.000 0.500 0.250 1
Be1 Be 0.000 0.000 0.000 1
Zn1 Zn 0.000 0.000 0.407 1
```

---

> What is the DOS at the Fermi energy in the sixth record?

0.345 states/eV/atom